Record 1
! Mn3HO | Alexandria via LeMat-Bulk | PBE with a Hubbard U | optimized geometry; values from VASP
&SYSTEM
  ibrav = 0, nat = 5, ntyp = 3
/
ATOMIC_SPECIES
Mn 54.94 Mn.upf
O 16.00 O.upf
H 1.01 H.upf
ATOMIC_POSITIONS crystal
Mn 0.500 0.000 0.000
Mn 0.000 0.500 0.000
Mn 0.000 0.000 0.500
O 0.000 0.000 0.000
H 0.500 0.500 0.500
CELL_PARAMETERS angstrom
4.318 0.000 0.000
0.000 4.318 0.000
0.000 0.000 4.318
! * total magnetization: 13.916 μB per cell
! * theoretical density: 3.75 g/cm³
! * space-group type: No. 221
! * final energy: -0.430 Ry per atom
! * DOS(E_F): 0.3073 states/eV per atom



Record 2
! Fe4WF12 | Alexandria via LeMat-Bulk | PBE with a Hubbard U | optimized geometry; values from VASP
&SYSTEM
  ibrav = 0, nat = 17, ntyp = 3
/
ATOMIC_SPECIES
F 19.00 F.upf
W 183.84 W.upf
Fe 55.84 Fe.upf
ATOMIC_POSITIONS crystal
F 0.699 0.500 0.801
F 0.301 0.102 0.801
F 0.956 0.290 0.666
F 0.166 0.290 0.455
F 0.699 0.898 0.199
F 0.301 0.500 0.199
F 0.166 0.710 0.876
F 0.834 0.290 0.124
F 0.044 0.710 0.334
F 0.834 0.710 0.545
F 0.624 0.290 0.334
F 0.376 0.710 0.666
W 0.000 0.500 0.500
Fe 0.500 0.500 0.500
Fe 0.000 0.000 0.500
Fe 0.000 0.500 0.000
Fe 0.500 0.000 0.000
CELL_PARAMETERS angstrom
6.436 -0.020 -2.624
-3.063 5.846 -2.178
-0.285 0.020 6.944
! * total magnetization: 18.000 μB per cell
! * theoretical density: 4.11 g/cm³
! * space-group type: No. 139
! * final energy: -0.408 Ry per atom
! * DOS(E_F): 0.0000 states/eV per atom